{"formula": "YHPtRh2", "functional": "PBE-GGA", "state": "optimized geometry", "lattice_angstrom": [[4.0292, 0.0000, 0.0000], [0.0000, 4.0292, 0.0000], [0.0000, 0.0000, 4.3178]], "species": ["Rh", "Rh", "Pt", "Y", "H"], "frac_coords": [[0.5000, 0.0000, 0.0000], [0.0000, 0.5000, 0.0000], [0.5000, 0.5000, 0.5000], [0.0000, 0.0000, 0.5000], [0.0000, 0.0000, 0.0000]], "final_energy_ev_per_cell": -33.4, "spacegroup": "P4/mmm, No. 123"}



{"formula": "YHPt2Rh", "functional": "PBE-GGA", "state": "optimized geometry", "lattice_angstrom": [[-1.6678, 4.4761, 1.5558], [-2.8319, -1.5010, 1.2827], [2.3396, -0.6566, 4.3969]], "species": ["Y", "Pt", "Pt", "Rh", "H"], "frac_coords": [[0.5000, 0.5000, 0.5000], [0.0000, 0.0000, 0.5000], [0.5000, 0.0000, 0.0000], [0.0000, 0.0000, 0.0000], [0.0000, 0.5000, 0.0000]], "final_energy_ev_per_cell": -29.8, "spacegroup": "P4/mmm, No. 123"}



{"formula": "YHPt2Rh", "functional": "PBE-GGA", "state": "optimized geometry", "lattice_angstrom": [[4.0133, 0.0000, 0.0000], [0.0000, 4.0133, 0.0000], [0.0000, 0.0000, 4.4515]], "species": ["Pt", "Pt", "Y", "H", "Rh"], "frac_coords": [[0.0000, 0.5000, 0.0000], [0.5000, 0.0000, 0.0000], [0.0000, 0.0000, 0.5000], [0.0000, 0.0000, 0.0000], [0.5000, 0.5000, 0.5000]], "final_energy_ev_per_cell": -32.3, "spacegroup": "P4/mmm, No. 123"}



{"formula": "Y2HPtRh6", "functional": "PBE-GGA", "state": "optimized geometry", "lattice_angstrom": [[-1.0818, -2.5858, -4.8435], [6.2718, -3.2841, 0.3493], [2.3021, -6.7623, -0.1413]], "species": ["Pt", "Rh", "Rh", "Rh", "Rh", "Rh", "Rh", "Y", "Y", "H"], "frac_coords": [[0.0000, 0.0000, 0.0000], [0.3004, 0.3219, 0.3981], [0.1569, 0.2083, 0.1574], [0.6996, 0.6781, 0.6019], [0.3152, 0.7930, 0.8410], [0.8431, 0.7917, 0.8426], [0.6848, 0.2070, 0.1590], [0.7289, 0.3072, 0.5414], [0.2711, 0.6928, 0.4585], [0.5000, 0.5000, 0.0000]], "final_energy_ev_per_cell": -70.8, "spacegroup": "C2/m, No. 12"}